This record from Alexandria describes a geometry-optimized Cd2SnPb2 structure. The functional is GGA-PBEsol.

## Properties
E_tot = -2.851 eV per atom
V = 26.633 Å³/atom
DFT formation energy = 0.0790 eV per atom
density of states at the Fermi level = 2.07 states/eV/f.u.

CIF file:
```
data_Cd2SnPb2
_space_group_name_H-M_alt 'P 1'
_space_group_IT_number 1
_cell_length_a 4.618
_cell_length_b 7.594
_cell_length_c 7.594
_cell_angle_alpha 90.00
_cell_angle_beta 90.00
_cell_angle_gamma 90.00
loop_
_space_group_symop_operation_xyz
'x,y,z'
loop_
_atom_site_label
_atom_site_type_symbol
_atom_site_fract_x
_atom_site_fract_y
_atom_site_fract_z
_atom_site_occupancy
Pb1 Pb 0.500 0.673 0.827 1
Pb2 Pb 0.500 0.827 0.327 1
Pb3 Pb 0.500 0.327 0.173 1
Pb4 Pb 0.500 0.173 0.673 1
Cd1 Cd 0.000 0.869 0.631 1
Cd2 Cd 0.000 0.131 0.369 1
Cd3 Cd 0.000 0.631 0.131 1
Cd4 Cd 0.000 0.369 0.869 1
Sn1 Sn 0.000 0.500 0.500 1
Sn2 Sn 0.000 0.000 0.000 1
```